This record from Alexandria describes a geometry-optimized La8CePr2 structure. The functional is PBE-GGA.

Cell lengths 5.817, 8.273, 9.635 Å; angles 115.42, 107.57, 90.00 degrees
Element x y z (fractional)
La1 0.631 0.842 0.261
La2 0.000 0.720 0.000
Pr1 0.201 0.701 0.402
Ce1 0.500 0.000 0.000
La3 0.631 0.419 0.261
Pr2 0.799 0.299 0.598
La4 0.843 0.843 0.685
La5 0.369 0.158 0.739
La6 0.157 0.157 0.315
La7 0.369 0.581 0.739
La8 0.000 0.280 0.000

## Properties
Formation enthalpy at 0 K = 9 kJ/mol of atoms
M_tot = 0.04 Bohr magnetons per cell

***

This record from Alexandria describes a geometry-optimized La6CePr3 structure. The functional is PBE-GGA.

Cell lengths 6.911, 9.973, 6.836 Å; angles 113.05, 120.36, 90.00 degrees
Site moments in Bohr magnetons follow the coordinates.
Element x y z (fractional)
La1 0.539 0.673 0.621  -0.01
La2 0.918 0.327 0.379  -0.01
La3 0.461 0.327 0.379  -0.01
Pr1 0.934 0.303 0.867  0.00
Ce1 0.500 0.500 0.000  0.67
La4 0.082 0.673 0.621  -0.01
Pr2 0.066 0.697 0.133  0.00
La5 0.359 0.087 0.717  0.01
La6 0.641 0.913 0.283  0.01
Pr3 0.000 0.000 0.000  0.00

## Properties
Formation enthalpy at 0 K = 19 kJ/mol of atoms
M_tot = 0.83 Bohr magnetons per cell

***

This record from Alexandria describes a geometry-optimized LaCePr14 structure. The functional is PBE-GGA.

Cell lengths 7.402, 7.402, 10.510 Å; angles 90.00, 90.00, 90.00 degrees
Site moments in Bohr magnetons follow the coordinates.
Element x y z (fractional)
Pr1 0.875 0.125 0.500  0.00
Pr2 0.628 0.372 0.249  0.01
Pr3 0.375 0.125 0.500  0.01
Pr4 0.123 0.373 0.752  0.01
Pr5 0.875 0.625 0.000  0.02
Ce1 0.875 0.125 0.000  0.84
Pr6 0.628 0.372 0.751  0.01
Pr7 0.627 0.877 0.752  0.01
Pr8 0.122 0.878 0.752  0.01
Pr9 0.123 0.373 0.248  0.01
Pr10 0.375 0.625 0.500  0.00
Pr11 0.875 0.625 0.500  0.01
Pr12 0.375 0.125 0.000  0.02
Pr13 0.627 0.877 0.248  0.01
Pr14 0.122 0.878 0.248  0.01
La1 0.375 0.625 0.000  0.00

## Properties
Formation enthalpy at 0 K = 3 kJ/mol of atoms
M_tot = 1.40 Bohr magnetons per cell

***

This record from Alexandria describes a geometry-optimized La12CePr7 structure. The functional is PBE-GGA.

Cell lengths 9.983, 9.983, 9.983 Å; angles 110.68, 110.68, 110.68 degrees
Site moments in Bohr magnetons follow the coordinates.
Element x y z (fractional)
Pr1 0.716 0.848 0.542  0.01
Pr2 0.542 0.716 0.848  0.01
La1 0.372 0.584 0.079  -0.01
La2 0.849 0.911 0.271  0.01
La3 0.911 0.271 0.849  0.01
Pr3 0.152 0.458 0.284  0.01
La4 0.151 0.089 0.729  0.01
La5 0.079 0.372 0.584  -0.01
La6 0.729 0.151 0.089  0.01
La7 0.921 0.628 0.416  -0.01
Pr4 0.284 0.152 0.458  0.01
Pr5 0.458 0.284 0.152  0.01
Ce1 0.000 0.000 0.000  0.86
La8 0.271 0.849 0.911  0.01
La9 0.628 0.416 0.921  -0.01
La10 0.416 0.921 0.628  -0.01
Pr6 0.500 0.500 0.500  0.01
Pr7 0.848 0.542 0.716  0.01
La11 0.584 0.079 0.372  -0.01
La12 0.089 0.729 0.151  0.01

## Properties
Formation enthalpy at 0 K = 10 kJ/mol of atoms
Relative energy among the computed polymorphs = 0.000 eV/atom
M_tot = 1.17 Bohr magnetons per cell

***

This record from Alexandria describes a geometry-optimized La2CePr8 structure. The functional is PBE-GGA.

Cell lengths 5.816, 8.342, 9.629 Å; angles 115.67, 107.58, 90.00 degrees
Site moments in Bohr magnetons follow the coordinates.
Element x y z (fractional)
La1 0.200 0.700 0.400  -0.01
Pr1 0.000 0.713 0.000  0.00
Pr2 0.841 0.841 0.682  0.01
Pr3 0.159 0.159 0.318  0.01
Pr4 0.632 0.843 0.265  0.02
Ce1 0.500 0.000 0.000  0.61
Pr5 0.368 0.157 0.735  0.02
Pr6 0.368 0.578 0.735  0.02
La2 0.800 0.300 0.600  -0.01
Pr7 0.632 0.422 0.265  0.02
Pr8 0.000 0.287 0.000  0.00

## Properties
Formation enthalpy at 0 K = 11 kJ/mol of atoms
M_tot = 0.90 Bohr magnetons per cell

***

This record from Alexandria describes a geometry-optimized LaCe2Pr structure. The functional is PBE-GGA.

Cell lengths 3.556, 3.556, 11.979 Å; angles 81.47, 81.47, 60.00 degrees
Site moments in Bohr magnetons follow the coordinates.
Element x y z (fractional)
Ce1 0.083 0.083 0.750  0.31
Pr1 0.668 0.668 0.995  -0.01
La1 0.498 0.498 0.505  0.01
Ce2 0.250 0.250 0.250  0.75

## Properties
Formation enthalpy at 0 K = 12 kJ/mol of atoms
Relative energy among the computed polymorphs = 0.010 eV/atom
M_tot = 1.34 Bohr magnetons per cell

***

This record from Alexandria describes a geometry-optimized La8CePr3 structure. The functional is PBE-GGA.

Cell lengths 8.596, 8.596, 8.596 Å; angles 94.38, 117.50, 117.50 degrees
Element x y z (fractional)
La1 0.237 0.360 0.360
Pr1 0.000 0.500 0.500
La2 0.532 0.745 0.745
La3 0.000 0.787 0.255
La4 0.763 0.123 0.123
La5 0.000 0.877 0.640
La6 0.000 0.255 0.787
La7 0.000 0.640 0.877
Pr2 0.500 0.750 0.250
Pr3 0.500 0.250 0.750
Ce1 0.000 0.000 0.000
La8 0.468 0.213 0.213

## Properties
Formation enthalpy at 0 K = 41 kJ/mol of atoms
M_tot = 0.00 Bohr magnetons per cell

***

This record from Alexandria describes a geometry-optimized La8CePr5 structure. The functional is PBE-GGA.

Cell lengths 8.792, 8.739, 8.776 Å; angles 114.71, 101.33, 112.88 degrees
Site moments in Bohr magnetons follow the coordinates.
Element x y z (fractional)
Pr1 0.932 0.888 0.169  0.00
La1 0.541 0.889 0.779  0.00
La2 0.258 0.355 0.499  0.00
Pr2 0.068 0.369 0.123  0.00
Pr3 0.401 0.993 0.412  0.00
La3 0.555 0.635 0.319  0.00
Ce1 0.459 0.608 0.964  -0.09
La4 0.676 0.356 0.922  0.00
Pr4 0.287 0.108 0.021  0.00
La5 0.912 0.105 0.643  0.00
La6 0.052 0.736 0.508  0.00
La7 0.133 0.631 0.901  0.00
Pr5 0.729 0.600 0.691  0.00
La8 0.746 0.226 0.300  0.00

## Properties
Formation enthalpy at 0 K = 13 kJ/mol of atoms
M_tot = 0.12 Bohr magnetons per cell

***

This record from Alexandria describes a geometry-optimized LaCe2Pr structure. The functional is PBE-GGA.

Cell lengths 5.771, 5.771, 5.771 Å; angles 60.00, 60.00, 60.00 degrees
Site moments in Bohr magnetons follow the coordinates.
Element x y z (fractional)
Pr1 0.000 0.000 0.000  0.28
Ce1 0.750 0.750 0.750  1.10
La1 0.500 0.500 0.500  0.31
Ce2 0.250 0.250 0.250  1.10

## Properties
Formation enthalpy at 0 K = 26 kJ/mol of atoms
Relative energy among the computed polymorphs = 0.157 eV/atom
M_tot = 4.27 Bohr magnetons per cell

***

This record from Alexandria describes a geometry-optimized La3CePr12 structure. The functional is PBE-GGA.

Cell lengths 5.244, 5.244, 20.961 Å; angles 90.00, 90.00, 90.00 degrees
Site moments in Bohr magnetons follow the coordinates.
Element x y z (fractional)
Pr1 0.500 0.000 0.121  0.00
La1 0.000 0.000 0.751  -0.01
Pr2 0.000 0.500 0.626  0.00
Pr3 0.500 0.000 0.626  0.00
La2 0.000 0.000 0.249  -0.01
Ce1 0.000 0.000 0.000  0.77
Pr4 0.000 0.500 0.879  0.00
Pr5 0.500 0.000 0.374  0.00
Pr6 0.000 0.500 0.374  0.00
Pr7 0.000 0.500 0.121  0.00
Pr8 0.500 0.500 0.500  0.00
Pr9 0.500 0.000 0.879  0.00
Pr10 0.500 0.500 0.249  0.00
Pr11 0.500 0.500 0.751  0.00
La3 0.000 0.000 0.500  0.00
Pr12 0.500 0.500 0.000  0.01

## Properties
Formation enthalpy at 0 K = 3 kJ/mol of atoms
M_tot = 0.96 Bohr magnetons per cell

***

Q: What is the M_tot in the fifth record?
A: 0.90 Bohr magnetons per cell

***

Q: Which of these has the highest formation enthalpy at 0 K?
A: La8CePr3